## Cr2CoTe (PBE)

Data for crystalline Cr2CoTe at its relaxed geometry.

abc: 8.684 3.217 4.137
angles: 90.00 102.67 90.00
Space group C2/m (No. 12)
Asymmetric unit:
Cr  0.244  0.000  0.191 (multiplicity 4)
Co  0.000  0.500  0.000 (multiplicity 2)
Te  0.000  0.000  0.500 (multiplicity 2)

Properties
For the calculated volume, the calculation gives 112.73 Å³/cell. The calculation puts the formation energy from raw total energies at 1.6 eV per formula unit. As for the crystal system: monoclinic. The electronic total energy is -6.97 eV per atom.

## Cr2CoTe (PBE)

Data for crystalline Cr2CoTe at its relaxed geometry.

abc: 3.1606 3.1606 22.5231
angles: 90.00 90.00 120.00
Space group R-3m (No. 166, hexagonal axes)
Asymmetric unit:
Cr  0.0000  0.0000  0.2413 (multiplicity 6)
Co  0.0000  0.0000  0.5000 (multiplicity 3)
Te  0.0000  0.0000  0.0000 (multiplicity 3)

Properties
For the calculated volume, the calculation gives 194.85 Å³/cell. The calculation puts the formation energy from raw total energies at 2.8 eV per formula unit. As for the crystal system: trigonal. The electronic total energy is -6.68 eV per atom.

## CrCo2Te (PBE)

Data for crystalline CrCo2Te at its relaxed geometry.

abc: 5.960 5.960 5.960
angles: 90.00 90.00 90.00
Space group F-43m (No. 216)
Asymmetric unit:
Cr  0.000  0.000  0.000 (multiplicity 4)
Co  0.000  0.000  0.500 (multiplicity 4)
Co  0.250  0.250  0.750 (multiplicity 4)
Te  0.250  0.250  0.250 (multiplicity 4)

Properties
For the calculated volume, the calculation gives 211.76 Å³/cell. The calculation puts the formation energy from raw total energies at 1.6 eV per formula unit. As for the crystal system: cubic. The electronic total energy is -6.35 eV per atom.